# 1
# Nd2HoBi3 (GGA-PBE, optimized geometry)
data_Nd2HoBi3
_chemical_formula_sum 'Nd2 Ho1 Bi3'
_cell_length_a 4.530
_cell_length_b 4.530
_cell_length_c 11.117
_cell_angle_alpha 90.00
_cell_angle_beta 90.00
_cell_angle_gamma 120.00
_symmetry_space_group_name_H-M 'P 1'
_symmetry_Int_Tables_number 1
loop_
_symmetry_equiv_pos_as_xyz
'x,y,z'
loop_
_atom_site_label
_atom_site_fract_x
_atom_site_fract_y
_atom_site_fract_z
_atom_site_occupancy
Nd1 0.333 0.667 0.329 1
Nd2 0.667 0.333 0.671 1
Ho1 0.000 0.000 0.000 1
Bi1 0.000 0.000 0.500 1
Bi2 0.333 0.667 0.841 1
Bi3 0.667 0.333 0.159 1
# - DFT total energy: -31.79 eV for the cell shown
# - Symmetry: P-3m1, No. 164

---

# 2
# NdHoBiO2 (GGA-PBE, optimized geometry)
data_NdHoBiO2
_chemical_formula_sum 'Nd1 Ho1 Bi1 O2'
_cell_length_a 7.358
_cell_length_b 7.358
_cell_length_c 7.358
_cell_angle_alpha 149.11
_cell_angle_beta 149.11
_cell_angle_gamma 44.25
_symmetry_space_group_name_H-M 'P 1'
_symmetry_Int_Tables_number 1
loop_
_symmetry_equiv_pos_as_xyz
'x,y,z'
loop_
_atom_site_label
_atom_site_fract_x
_atom_site_fract_y
_atom_site_fract_z
_atom_site_occupancy
Nd1 0.000 0.000 0.000 1
Ho1 0.668 0.668 0.000 1
Bi1 0.332 0.332 0.000 1
O1 0.091 0.591 0.500 1
O2 0.591 0.091 0.500 1
# - DFT total energy: -36.48 eV for the cell shown
# - Symmetry: I4mm, No. 107

---

# 3
# NdHoBi2Te2 (GGA-PBE, optimized geometry)
data_NdHoBi2Te2
_chemical_formula_sum 'Nd1 Ho1 Bi2 Te2'
_cell_length_a 4.425
_cell_length_b 4.425
_cell_length_c 9.453
_cell_angle_alpha 90.00
_cell_angle_beta 90.00
_cell_angle_gamma 90.00
_symmetry_space_group_name_H-M 'P 1'
_symmetry_Int_Tables_number 1
loop_
_symmetry_equiv_pos_as_xyz
'x,y,z'
loop_
_atom_site_label
_atom_site_fract_x
_atom_site_fract_y
_atom_site_fract_z
_atom_site_occupancy
Nd1 0.000 0.000 0.000 1
Ho1 0.500 0.500 0.431 1
Bi1 0.000 0.500 0.713 1
Bi2 0.500 0.000 0.713 1
Te1 0.000 0.000 0.348 1
Te2 0.500 0.500 0.097 1
# - DFT total energy: -29.89 eV for the cell shown
# - Symmetry: P4mm, No. 99

---

# 4
# HoNiBi (GGA-PBE, optimized geometry)
data_HoNiBi
_chemical_formula_sum 'Ho3 Ni3 Bi3'
_cell_length_a 7.150
_cell_length_b 7.150
_cell_length_c 4.395
_cell_angle_alpha 90.00
_cell_angle_beta 90.00
_cell_angle_gamma 120.00
_symmetry_space_group_name_H-M 'P 1'
_symmetry_Int_Tables_number 1
loop_
_symmetry_equiv_pos_as_xyz
'x,y,z'
loop_
_atom_site_label
_atom_site_fract_x
_atom_site_fract_y
_atom_site_fract_z
_atom_site_occupancy
Ho1 0.000 0.570 0.000 1
Ho2 0.430 0.430 0.000 1
Ho3 0.570 0.000 0.000 1
Ni1 0.000 0.249 0.500 1
Ni2 0.249 0.000 0.500 1
Ni3 0.751 0.751 0.500 1
Bi1 0.000 0.000 0.000 1
Bi2 0.333 0.667 0.500 1
Bi3 0.667 0.333 0.500 1
# - DFT total energy: -46.44 eV for the cell shown
# - Symmetry: P-62m, No. 189